Record 1
VASP calculation (PBE-GGA) on a relaxed structure of Nd3Bi.

Properties
ΔH_f (0 K) = -0.387 eV/atom
calculated volume = 34.5 Å³/atom
E above lowest polymorph = 48 meV/atom
final energy = -19.7 eV per formula unit

POSCAR file:
```
Nd3Bi
1.0
-3.776 -1.230 1.436
1.571 -6.392 -1.345
3.332 0.602 9.274
Nd Bi
6 2
direct
0.750 0.770 0.592
0.750 0.417 0.145
0.250 0.230 0.408
0.250 0.583 0.855
0.750 0.901 0.124
0.250 0.099 0.876
0.250 0.718 0.342
0.750 0.282 0.658
```



Record 2
VASP calculation (PBE-GGA) on a relaxed structure of NdBi3.

Properties
ΔH_f (0 K) = -0.444 eV/atom
calculated volume = 32.6 Å³/atom
final energy = -18.2 eV per formula unit

POSCAR file:
```
NdBi3
1.0
-1.466 3.601 -2.594
0.049 -2.708 -3.786
-11.410 -1.775 3.984
Bi Nd
6 2
direct
0.750 0.053 0.106
0.750 0.821 0.642
0.250 0.321 0.642
0.750 0.679 0.358
0.250 0.947 0.894
0.250 0.179 0.358
0.750 0.430 0.860
0.250 0.570 0.140
```



Record 3
VASP calculation (PBE-GGA) on a relaxed structure of NdBi5.

Properties
ΔH_f (0 K) = -0.268 eV/atom
calculated volume = 31.7 Å³/atom
final energy = -25.8 eV per formula unit

POSCAR file:
```
NdBi5
1.0
-3.132 0.974 3.483
0.978 -4.172 2.046
5.603 5.704 3.442
Bi Nd
5 1
direct
0.500 0.500 0.000
0.000 0.345 0.689
0.000 0.655 0.311
0.500 0.834 0.668
0.500 0.166 0.332
0.000 0.000 0.000
```



What did the first record say?
VASP calculation (PBE-GGA) on a relaxed structure of Nd3Bi.

Properties
ΔH_f (0 K) = -0.387 eV/atom
calculated volume = 34.5 Å³/atom
E above lowest polymorph = 48 meV/atom
final energy = -19.7 eV per formula unit

POSCAR file:
```
Nd3Bi
1.0
-3.776 -1.230 1.436
1.571 -6.392 -1.345
3.332 0.602 9.274
Nd Bi
6 2
direct
0.750 0.770 0.592
0.750 0.417 0.145
0.250 0.230 0.408
0.250 0.583 0.855
0.750 0.901 0.124
0.250 0.099 0.876
0.250 0.718 0.342
0.750 0.282 0.658
```



Question: Which formula does entry 3 have?
Answer: NdBi5



Question: Look up the ΔH_f (0 K) of the first one.
Answer: -0.387 eV/atom